Record 1
A geometry-optimized Ce2MnGa8 structure. Source: the Alexandria database, functional PBE. Values from VASP.

Computed properties:
Magnetization = 0.144 μB/atom
Theoretical density = 6954 kg/m3
Calculated volume = 19.384 Å³/atom
ΔE_f = -0.412 eV per atom

Geometry as Quantum ESPRESSO input:
```
&SYSTEM
  ibrav = 0, nat = 11, ntyp = 3
/
ATOMIC_SPECIES
Ce 140.12 Ce.upf
Mn 54.94 Mn.upf
Ga 69.72 Ga.upf
CELL_PARAMETERS angstrom
4.3409 0.0000 0.0000
0.0000 4.3409 0.0000
0.0000 0.0000 11.3157
ATOMIC_POSITIONS crystal
Ce 0.0000 0.0000 0.1954
Ce 0.0000 0.0000 0.8046
Mn 0.0000 0.0000 0.5000
Ga 0.0000 0.5000 0.0000
Ga 0.0000 0.5000 0.3818
Ga 0.0000 0.5000 0.6182
Ga 0.5000 0.0000 0.0000
Ga 0.5000 0.0000 0.3818
Ga 0.5000 0.0000 0.6182
Ga 0.5000 0.5000 0.1907
Ga 0.5000 0.5000 0.8093
```

Record 2
A geometry-optimized Ce2MnGa12 structure. Source: the Alexandria database, functional PBE. Values from VASP.

Computed properties:
Magnetization = 0.087 μB/atom
Theoretical density = 6785 kg/m3
Calculated volume = 19.119 Å³/atom
ΔE_f = -0.317 eV per atom

Geometry as Quantum ESPRESSO input:
```
&SYSTEM
  ibrav = 0, nat = 30, ntyp = 3
/
ATOMIC_SPECIES
Ce 140.12 Ce.upf
Mn 54.94 Mn.upf
Ga 69.72 Ga.upf
CELL_PARAMETERS angstrom
6.0375 0.0000 0.0000
0.0000 6.0375 0.0000
0.0000 0.0000 15.7353
ATOMIC_POSITIONS crystal
Ce 0.2500 0.7500 0.2442
Ce 0.2500 0.7500 0.7558
Ce 0.7500 0.2500 0.2442
Ce 0.7500 0.2500 0.7558
Mn 0.2500 0.7500 0.0000
Mn 0.7500 0.2500 0.0000
Ga 0.0002 0.9998 0.0891
Ga 0.9998 0.0002 0.9109
Ga 0.9998 0.4998 0.0891
Ga 0.0002 0.5002 0.9109
Ga 0.0800 0.5800 0.4304
Ga 0.0800 0.9200 0.5696
Ga 0.2500 0.2500 0.1895
Ga 0.2500 0.2500 0.3442
Ga 0.2500 0.2500 0.6558
Ga 0.2500 0.2500 0.8105
Ga 0.4200 0.5800 0.5696
Ga 0.4200 0.9200 0.4304
Ga 0.5002 0.0002 0.0891
Ga 0.4998 0.9998 0.9109
Ga 0.4998 0.5002 0.0891
Ga 0.5002 0.4998 0.9109
Ga 0.5800 0.0800 0.5696
Ga 0.5800 0.4200 0.4304
Ga 0.7500 0.7500 0.1895
Ga 0.7500 0.7500 0.3442
Ga 0.7500 0.7500 0.6558
Ga 0.7500 0.7500 0.8105
Ga 0.9200 0.0800 0.4304
Ga 0.9200 0.4200 0.5696
```

Record 3
A geometry-optimized Ce4MnGa12 structure. Source: the Alexandria database, functional PBE. Values from VASP.

Computed properties:
Magnetization = 0.037 μB/atom
Theoretical density = 7270 kg/m3
Calculated volume = 19.510 Å³/atom
ΔE_f = -0.524 eV per atom

Geometry as Quantum ESPRESSO input:
```
&SYSTEM
  ibrav = 0, nat = 17, ntyp = 3
/
ATOMIC_SPECIES
Ce 140.12 Ce.upf
Mn 54.94 Mn.upf
Ga 69.72 Ga.upf
CELL_PARAMETERS angstrom
-4.3606 4.3606 4.3606
4.3606 -4.3606 4.3606
4.3606 4.3606 -4.3606
ATOMIC_POSITIONS crystal
Ce 0.0000 0.0000 0.5000
Ce 0.0000 0.5000 0.0000
Ce 0.5000 0.0000 0.0000
Ce 0.5000 0.5000 0.5000
Mn 0.0000 0.0000 0.0000
Ga 0.0000 0.2901 0.2901
Ga 0.0000 0.7099 0.7099
Ga 0.2500 0.5000 0.7500
Ga 0.2500 0.7500 0.5000
Ga 0.2901 0.0000 0.2901
Ga 0.2901 0.2901 0.0000
Ga 0.5000 0.2500 0.7500
Ga 0.5000 0.7500 0.2500
Ga 0.7099 0.0000 0.7099
Ga 0.7099 0.7099 0.0000
Ga 0.7500 0.2500 0.5000
Ga 0.7500 0.5000 0.2500
```

Record 4
A geometry-optimized CeMnGa6 structure. Source: the Alexandria database, functional PBE. Values from VASP.

Computed properties:
Magnetization = 0.000 μB/atom
Theoretical density = 6678 kg/m3
Calculated volume = 19.067 Å³/atom
ΔE_f = -0.183 eV per atom

Geometry as Quantum ESPRESSO input:
```
&SYSTEM
  ibrav = 0, nat = 8, ntyp = 3
/
ATOMIC_SPECIES
Ce 140.12 Ce.upf
Mn 54.94 Mn.upf
Ga 69.72 Ga.upf
CELL_PARAMETERS angstrom
5.3140 3.0680 1.5591
-5.3140 3.0680 1.5591
0.0000 -6.1361 1.5591
ATOMIC_POSITIONS crystal
Ce 0.0000 0.0000 0.0000
Mn 0.5000 0.5000 0.5000
Ga 0.2769 0.2769 0.6908
Ga 0.2769 0.6908 0.2769
Ga 0.3092 0.7231 0.7231
Ga 0.6908 0.2769 0.2769
Ga 0.7231 0.3092 0.7231
Ga 0.7231 0.7231 0.3092
```

Record 5
A geometry-optimized CeMnGa11 structure. Source: the Alexandria database, functional PBE. Values from VASP.

Computed properties:
Magnetization = 0.231 μB/atom
Theoretical density = 6752 kg/m3
Calculated volume = 18.199 Å³/atom
ΔE_f = -0.127 eV per atom

Geometry as Quantum ESPRESSO input:
```
&SYSTEM
  ibrav = 0, nat = 13, ntyp = 3
/
ATOMIC_SPECIES
Ce 140.12 Ce.upf
Mn 54.94 Mn.upf
Ga 69.72 Ga.upf
CELL_PARAMETERS angstrom
2.5711 -6.1824 0.0000
2.5711 6.1824 0.0000
-2.4984 0.0000 7.4418
ATOMIC_POSITIONS crystal
Ce 0.0000 0.0000 0.0000
Mn 0.0000 0.0000 0.5000
Ga 0.0000 0.5000 0.0000
Ga 0.0148 0.6679 0.6352
Ga 0.2748 0.4911 0.7680
Ga 0.3321 0.9852 0.3648
Ga 0.4911 0.2748 0.7680
Ga 0.5000 0.0000 0.0000
Ga 0.5000 0.5000 0.5000
Ga 0.5089 0.7252 0.2320
Ga 0.6679 0.0148 0.6352
Ga 0.7252 0.5089 0.2320
Ga 0.9852 0.3321 0.3648
```

Record 6
A geometry-optimized Ce3MnGa structure. Source: the Alexandria database, functional PBE. Values from VASP.

Computed properties:
Magnetization = 0.000 μB/atom
Theoretical density = 7839 kg/m3
Calculated volume = 23.090 Å³/atom
ΔE_f = -0.109 eV per atom

Geometry as Quantum ESPRESSO input:
```
&SYSTEM
  ibrav = 0, nat = 20, ntyp = 3
/
ATOMIC_SPECIES
Ce 140.12 Ce.upf
Mn 54.94 Mn.upf
Ga 69.72 Ga.upf
CELL_PARAMETERS angstrom
6.8821 0.0000 0.0000
0.0000 6.2333 0.0000
-0.4456 0.0000 10.7650
ATOMIC_POSITIONS crystal
Ce 0.1114 0.2421 0.4107
Ce 0.1114 0.7579 0.9107
Ce 0.2459 0.4434 0.1656
Ce 0.2459 0.5566 0.6656
Ce 0.3758 0.2245 0.9291
Ce 0.3758 0.7755 0.4291
Ce 0.6242 0.2245 0.5709
Ce 0.6242 0.7755 0.0709
Ce 0.7541 0.4434 0.3344
Ce 0.7541 0.5566 0.8344
Ce 0.8886 0.2421 0.0893
Ce 0.8886 0.7579 0.5893
Mn 0.0891 0.2766 0.8521
Mn 0.0891 0.7234 0.3521
Mn 0.9109 0.2766 0.6479
Mn 0.9109 0.7234 0.1479
Ga 0.2289 0.0514 0.6694
Ga 0.2289 0.9486 0.1694
Ga 0.7711 0.0514 0.8306
Ga 0.7711 0.9486 0.3306
```

no.,E (eV/atom)
1,-4.525
2,-4.141
3,-4.597
4,-4.341
5,-3.850
6,-6.109